## Nb3Pb2O7F5 (PBE)

Data for Nb3Pb2O7F5 after structural relaxation. Values from VASP.

Geometry as Quantum ESPRESSO input:
```
&SYSTEM
  ibrav = 0, nat = 17, ntyp = 4
/
ATOMIC_SPECIES
Pb 207.20 Pb.upf
Nb 92.91 Nb.upf
O 16.00 O.upf
F 19.00 F.upf
CELL_PARAMETERS angstrom
3.904 0.000 0.000
0.000 3.982 0.000
-1.952 -1.991 16.742
ATOMIC_POSITIONS crystal
Pb 0.808 0.808 0.616
Nb 0.381 0.381 0.762
O 0.369 0.869 0.738
F 0.753 0.253 0.506
Pb 0.213 0.213 0.425
O 0.436 0.436 0.872
F 0.253 0.753 0.505
Nb 0.497 0.497 0.993
O 0.499 0.999 0.999
Nb 0.616 0.616 0.231
F 0.626 0.126 0.252
F 0.313 0.313 0.626
F 0.682 0.682 0.363
O 0.124 0.624 0.249
O 0.868 0.368 0.736
O 0.001 0.501 0.003
O 0.562 0.562 0.124
```

Calculated values
Formation energy (no corrections), meV per atom: -2477
Space-group type: Imm2 (44)
N(E_F), states/eV/cell: 0.98
VASP energy, eV/atom: -7.282